{
  "formula": "Cs2RbSnCl5",
  "functional": "PBE-GGA",
  "state": "optimized geometry",
  "sg": "Cmc2_1, No. 36",
  "n_ef_per_ev_cell": 0.00,
  "raw_formation_energy_ev_per_atom": -1.65,
  "cell": [[-2.314, -1.912, -4.583], [-4.314, -4.697, 7.412], [-9.316, 9.636, 0.684]],
  "species": ["Rb", "Cl", "Cs", "Sn", "Cl", "Cs", "Cl", "Cl", "Cs", "Cl", "Cl", "Cl", "Cl", "Rb", "Cs", "Sn", "Cl", "Cl"],
  "fractional_positions": [[0.210, 0.420, 0.025], [0.032, 0.065, 0.963], [0.887, 0.774, 0.201], [0.534, 0.068, 0.964], [0.968, 0.935, 0.463], [0.860, 0.721, 0.826], [0.491, 0.983, 0.782], [0.328, 0.655, 0.378], [0.113, 0.226, 0.701], [0.617, 0.233, 0.513], [0.509, 0.017, 0.282], [0.706, 0.412, 0.172], [0.383, 0.767, 0.013], [0.790, 0.580, 0.525], [0.140, 0.279, 0.326], [0.466, 0.932, 0.464], [0.294, 0.588, 0.672], [0.672, 0.345, 0.878]]
}